Entry 1:
# Ti2ZnAu, optimized geometry, DFT PBE
data_Ti2ZnAu
_cell_length_a 3.318
_cell_length_b 3.318
_cell_length_c 5.980
_cell_angle_alpha 90.00
_cell_angle_beta 90.00
_cell_angle_gamma 90.00
_space_group_name_H-M_alt 'P 1'
_space_group_IT_number 1
_space_group_name_Hall 'P 1'
loop_
_atom_site_label
_atom_site_fract_x
_atom_site_fract_y
_atom_site_fract_z
Au1 0.500 0.500 0.500
Zn1 0.500 0.500 0.000
Ti1 0.000 0.000 0.762
Ti2 0.000 0.000 0.238
# V = 65.8 Å³/cell
# Energy relative to the elements = -0.97 eV per formula unit
# M_tot = 0.014 μB/f.u.
# SG = No. 123

Entry 2:
# Ti2ZnAu6, optimized geometry, DFT PBE
data_Ti2ZnAu6
_cell_length_a 4.892
_cell_length_b 8.563
_cell_length_c 8.563
_cell_angle_alpha 120.02
_cell_angle_beta 90.54
_cell_angle_gamma 90.54
_space_group_name_H-M_alt 'P 1'
_space_group_IT_number 1
_space_group_name_Hall 'P 1'
loop_
_atom_site_label
_atom_site_fract_x
_atom_site_fract_y
_atom_site_fract_z
Au1 0.002 0.168 0.003
Au2 0.739 0.415 0.915
Au3 0.498 0.997 0.832
Au4 0.761 0.085 0.585
Au5 0.502 0.668 0.503
Au6 0.002 0.503 0.668
Au7 0.998 0.497 0.332
Au8 0.239 0.915 0.415
Au9 0.261 0.585 0.085
Au10 0.998 0.832 0.997
Au11 0.498 0.332 0.497
Au12 0.502 0.003 0.168
Ti1 0.000 0.837 0.663
Ti2 0.000 0.163 0.337
Ti3 0.500 0.663 0.837
Ti4 0.500 0.337 0.163
Zn1 0.250 0.250 0.750
Zn2 0.750 0.750 0.250
# Excess energy over the best structure of this formula in the dataset = 0.0000 eV/atom
# V = 310.6 Å³/cell
# Energy relative to the elements = -2.80 eV per formula unit
# M_tot = 0.000 μB/f.u.
# SG = No. 12

Entry 3:
# Ti3Zn4Au, optimized geometry, DFT PBE
data_Ti3Zn4Au
_cell_length_a 4.471
_cell_length_b 2.890
_cell_length_c 11.135
_cell_angle_alpha 82.52
_cell_angle_beta 101.04
_cell_angle_gamma 90.02
_space_group_name_H-M_alt 'P 1'
_space_group_IT_number 1
_space_group_name_Hall 'P 1'
loop_
_atom_site_label
_atom_site_fract_x
_atom_site_fract_y
_atom_site_fract_z
Zn1 0.889 0.603 0.794
Zn2 0.111 0.397 0.206
Zn3 0.333 0.661 0.676
Zn4 0.667 0.339 0.324
Au1 0.000 0.000 0.000
Ti1 0.500 0.500 0.000
Ti2 0.216 0.787 0.428
Ti3 0.784 0.213 0.572
# V = 140.0 Å³/cell
# Energy relative to the elements = 0.19 eV per formula unit
# M_tot = 1.511 μB/f.u.
# SG = No. 12